Entry 1:
## Na2Li2Ni (PBE)

Data for Na2Li2Ni after structural relaxation.

ΔH_f (0 K) = 462.8 meV/atom
N(E_F) = 3.50 states/eV/cell

Cell: 7.1313 7.1313 4.3918 Å, 90.00 90.00 90.00°
Closest atoms and distances in Å follow each position.
Element x y z (fractional)
Na 0.1430 0.3570 0.0000  2 Ni 2.74, 2 Li 2.81, 1 Na 2.88
Na 0.3570 0.8570 0.0000  2 Ni 2.74, 2 Li 2.81, 1 Na 2.88
Na 0.6430 0.1430 0.0000  2 Ni 2.74, 2 Li 2.81, 1 Na 2.88
Na 0.8570 0.6430 0.0000  2 Ni 2.74, 2 Li 2.81, 1 Na 2.88
Li 0.1831 0.6831 0.5000  2 Na 2.81
Li 0.3169 0.1831 0.5000  2 Na 2.81
Li 0.6831 0.8169 0.5000  2 Na 2.81
Li 0.8169 0.3169 0.5000  2 Na 2.81
Ni 0.0000 0.0000 0.0000  4 Na 2.74
Ni 0.5000 0.5000 0.0000  4 Na 2.74

=====

Entry 2:
## Na2LiNi (PBE)

Data for Na2LiNi after structural relaxation.

ΔH_f (0 K) = 396.8 meV/atom
N(E_F) = 2.50 states/eV/cell

Cell: 4.8837 4.8837 4.8837 Å, 60.00 60.00 60.00°
Closest atoms and distances in Å follow each position.
Element x y z (fractional)
Na 0.2500 0.2500 0.2500  4 Ni 2.99, 4 Li 2.99
Na 0.7500 0.7500 0.7500  4 Li 2.99, 4 Ni 2.99
Li 0.0000 0.0000 0.0000  8 Na 2.99
Ni 0.5000 0.5000 0.5000  8 Na 2.99

=====

Entry 3:
## Na2LiNi (PBE)

Data for Na2LiNi after structural relaxation.

ΔH_f (0 K) = 496.0 meV/atom
N(E_F) = 4.35 states/eV/cell

Cell: 10.7188 10.7188 10.7188 Å, 158.34 158.34 30.82°
Closest atoms and distances in Å follow each position.
Element x y z (fractional)
Na 0.1158 0.6250 0.9908  4 Na 2.80-2.90, 2 Ni 2.94, 2 Li 2.96
Na 0.3750 0.3658 0.4908  4 Na 2.80-2.90, 2 Ni 2.94, 2 Li 2.96
Na 0.6342 0.1250 0.0092  4 Na 2.80-2.90, 2 Ni 2.94, 2 Li 2.96
Na 0.8750 0.8842 0.5092  4 Na 2.80-2.90, 2 Ni 2.94, 2 Li 2.96
Li 0.2500 0.7500 0.5000  4 Ni 2.85, 4 Na 2.96
Li 0.5000 0.5000 0.0000  4 Ni 2.85, 4 Na 2.96
Ni 0.0000 0.0000 0.0000  4 Li 2.85, 4 Na 2.94
Ni 0.7500 0.2500 0.5000  4 Li 2.85, 4 Na 2.94

=====

One value per record, in order, for density: 1.76, 2.25, 2.21 Mg/m³.